First-principles (PBE-GGA) data for crystalline LaAl2P at its relaxed geometry, as listed in the Alexandria database.

POSCAR file:
```
LaAl2P
1.0
-1.0877 -2.4575 -3.9763
1.5115 -4.1788 -1.8130
-3.6912 -3.7740 1.4321
P Al La
1 2 1
direct
0.2674 0.2674 0.1428
0.9947 0.9947 0.0046
0.7317 0.7317 0.8556
0.5061 0.5061 0.4970
```

Calculated values
symmetry: Cm
energy relative to the elements: -48.3 kJ per mole of atoms
total magnetic moment: 0.0 μB per formula unit